(1)
VASP calculation (PBE-GGA) on a relaxed structure of Ac2Ni3Ge4Ru.

a = 4.267 Å, b = 4.267 Å, c = 10.233 Å
α = 90.00°, β = 90.00°, γ = 90.00°
Element x y z (fractional)
Ni 0.000 0.500 0.123
Ni 0.000 0.000 0.500
Ni 0.500 0.000 0.877
Ac 0.500 0.000 0.244
Ac 0.000 0.500 0.756
Ge 0.000 0.000 0.000
Ge 0.000 0.500 0.373
Ge 0.500 0.500 0.000
Ge 0.500 0.000 0.627
Ru 0.500 0.500 0.500

Calculated values
As for the energy of formation from the pure elements: -14.08 kcal/mol of atoms. Its crystal system is tetragonal. Its space-group type is P-4m2 (115).


(2)
VASP calculation (PBE-GGA) on a relaxed structure of Ac2Ni6GeSb.

a = 6.645 Å, b = 6.285 Å, c = 6.645 Å
α = 61.72°, β = 56.47°, γ = 89.97°
Element x y z (fractional)
Sb 0.500 0.500 0.000
Ac 0.779 0.221 0.557
Ac 0.221 0.779 0.443
Ni 0.245 0.355 0.887
Ni 0.240 0.753 0.891
Ni 0.644 0.759 0.487
Ni 0.755 0.645 0.113
Ni 0.356 0.241 0.513
Ni 0.760 0.247 0.109
Ge 0.000 0.000 0.000

Calculated values
Its crystal system is triclinic. The electronic total energy comes out at -55.10 eV per cell. Its space-group type is P-1 (2).


(3)
VASP calculation (PBE-GGA) on a relaxed structure of Ac2Ni4GeSb3.

a = 4.509 Å, b = 4.509 Å, c = 10.170 Å
α = 90.00°, β = 90.00°, γ = 90.00°
Element x y z (fractional)
Sb 0.000 0.000 0.500
Sb 0.500 0.000 0.873
Sb 0.000 0.500 0.127
Ac 0.000 0.500 0.752
Ac 0.500 0.000 0.248
Ni 0.000 0.000 0.000
Ni 0.500 0.000 0.616
Ni 0.500 0.500 0.000
Ni 0.000 0.500 0.384
Ge 0.500 0.500 0.500

Calculated values
Its crystal system is tetragonal. The electronic total energy comes out at -54.98 eV per cell. Its space-group type is P-4m2 (115).


(4)
VASP calculation (PBE-GGA) on a relaxed structure of Ac2Ni4Ge3Sb.

a = 4.372 Å, b = 4.372 Å, c = 10.029 Å
α = 90.00°, β = 90.00°, γ = 90.00°
Element x y z (fractional)
Ge 0.500 0.000 0.882
Ge 0.000 0.500 0.118
Ge 0.000 0.000 0.500
Ni 0.000 0.000 0.000
Ni 0.500 0.500 0.000
Ni 0.000 0.500 0.368
Ni 0.500 0.000 0.632
Ac 0.000 0.500 0.763
Ac 0.500 0.000 0.237
Sb 0.500 0.500 0.500

Calculated values
Its crystal system is tetragonal. The electronic total energy comes out at -55.41 eV per cell. Its space-group type is P-4m2 (115).


(5)
VASP calculation (PBE-GGA) on a relaxed structure of Ac2ScNi4Ge3.

a = 4.284 Å, b = 4.284 Å, c = 10.309 Å
α = 90.00°, β = 90.00°, γ = 90.00°
Element x y z (fractional)
Sc 0.500 0.500 0.500
Ge 0.500 0.000 0.884
Ge 0.000 0.500 0.116
Ge 0.000 0.000 0.500
Ac 0.500 0.000 0.235
Ac 0.000 0.500 0.765
Ni 0.500 0.500 0.000
Ni 0.500 0.000 0.643
Ni 0.000 0.500 0.357
Ni 0.000 0.000 0.000

Calculated values
As for the energy of formation from the pure elements: -13.93 kcal/mol of atoms. Its crystal system is tetragonal. Its space-group type is P-4m2 (115).


(6)
VASP calculation (PBE-GGA) on a relaxed structure of Ac2ScNi3Ge4.

a = 4.292 Å, b = 4.292 Å, c = 10.819 Å
α = 90.00°, β = 90.00°, γ = 90.00°
Element x y z (fractional)
Sc 0.500 0.500 0.500
Ge 0.000 0.500 0.348
Ge 0.500 0.500 0.000
Ge 0.500 0.000 0.652
Ge 0.000 0.000 0.000
Ni 0.500 0.000 0.886
Ni 0.000 0.000 0.500
Ni 0.000 0.500 0.114
Ac 0.500 0.000 0.233
Ac 0.000 0.500 0.767

Calculated values
As for the energy of formation from the pure elements: -14.95 kcal/mol of atoms. Its crystal system is tetragonal. Its space-group type is P-4m2 (115).


(7)
VASP calculation (PBE-GGA) on a relaxed structure of AcSiNi6Ge.

a = 7.606 Å, b = 5.265 Å, c = 8.103 Å
α = 108.96°, β = 117.99°, γ = 90.00°
Element x y z (fractional)
Ni 0.142 0.406 0.819
Ni 0.142 0.914 0.819
Ni 0.360 0.110 0.720
Ni 0.323 0.086 0.181
Ni 0.995 0.745 0.990
Ni 0.858 0.594 0.181
Ni 0.323 0.594 0.181
Ni 0.005 0.255 0.010
Ni 0.858 0.086 0.181
Ni 0.677 0.406 0.819
Ni 0.640 0.890 0.280
Ni 0.677 0.914 0.819
Si 0.500 0.000 0.000
Si 0.500 0.500 0.000
Ge 0.000 0.000 0.500
Ge 0.500 0.000 0.500
Ac 0.752 0.502 0.504
Ac 0.248 0.498 0.496

Calculated values
Its crystal system is orthorhombic. The electronic total energy comes out at -102.23 eV per cell. Its space-group type is Imma (74).


(8)
VASP calculation (PBE-GGA) on a relaxed structure of AcSiNi3Ge.

a = 5.526 Å, b = 6.281 Å, c = 7.036 Å
α = 116.51°, β = 90.00°, γ = 90.00°
Element x y z (fractional)
Ge 0.250 0.396 0.791
Ge 0.750 0.604 0.209
Ni 0.000 0.719 0.000
Ni 0.250 0.214 0.427
Ni 0.500 0.281 0.000
Ni 0.500 0.719 0.000
Ni 0.750 0.786 0.573
Ni 0.000 0.281 0.000
Ac 0.250 0.762 0.524
Ac 0.750 0.238 0.476
Si 0.250 0.039 0.077
Si 0.750 0.961 0.923

Calculated values
Its crystal system is orthorhombic. The electronic total energy comes out at -67.93 eV per cell. Its space-group type is Cmcm (63).


(9)
VASP calculation (PBE-GGA) on a relaxed structure of Ac2SmNi3Ge4.

a = 4.350 Å, b = 4.350 Å, c = 11.147 Å
α = 90.00°, β = 90.00°, γ = 90.00°
Element x y z (fractional)
Ac 0.000 0.500 0.776
Ac 0.500 0.000 0.224
Ge 0.500 0.000 0.672
Ge 0.500 0.500 0.000
Ge 0.000 0.500 0.328
Ge 0.000 0.000 0.000
Sm 0.500 0.500 0.500
Ni 0.000 0.500 0.107
Ni 0.500 0.000 0.893
Ni 0.000 0.000 0.500

Calculated values
As for the energy of formation from the pure elements: -13.63 kcal/mol of atoms. Its crystal system is tetragonal. Its space-group type is P-4m2 (115).


(10)
VASP calculation (PBE-GGA) on a relaxed structure of Ac2Ni3SnGe4.

a = 4.350 Å, b = 4.350 Å, c = 10.533 Å
α = 90.00°, β = 90.00°, γ = 90.00°
Element x y z (fractional)
Ge 0.500 0.500 0.000
Ge 0.000 0.000 0.000
Ge 0.000 0.500 0.343
Ge 0.500 0.000 0.657
Ni 0.500 0.000 0.887
Ni 0.000 0.500 0.113
Ni 0.000 0.000 0.500
Sn 0.500 0.500 0.500
Ac 0.000 0.500 0.767
Ac 0.500 0.000 0.233

Calculated values
As for the energy of formation from the pure elements: -12.52 kcal/mol of atoms. Its crystal system is tetragonal. Its space-group type is P-4m2 (115).


(11)
VASP calculation (PBE-GGA) on a relaxed structure of Ac2Ni4SnGe3.

a = 4.351 Å, b = 4.351 Å, c = 10.121 Å
α = 90.00°, β = 90.00°, γ = 90.00°
Element x y z (fractional)
Ni 0.500 0.500 0.000
Ni 0.500 0.000 0.638
Ni 0.000 0.500 0.362
Ni 0.000 0.000 0.000
Sn 0.500 0.500 0.500
Ac 0.000 0.500 0.762
Ac 0.500 0.000 0.238
Ge 0.000 0.000 0.500
Ge 0.500 0.000 0.883
Ge 0.000 0.500 0.117

Calculated values
As for the energy of formation from the pure elements: -13.52 kcal/mol of atoms. Its crystal system is tetragonal. Its space-group type is P-4m2 (115).


(12)
VASP calculation (PBE-GGA) on a relaxed structure of Ac2Ni6SnGe.

a = 6.684 Å, b = 6.283 Å, c = 6.652 Å
α = 61.74°, β = 56.34°, γ = 89.95°
Element x y z (fractional)
Ni 0.243 0.756 0.885
Ni 0.362 0.244 0.514
Ni 0.638 0.756 0.486
Ni 0.757 0.244 0.115
Ni 0.757 0.641 0.115
Ni 0.243 0.359 0.885
Ac 0.220 0.779 0.442
Ac 0.780 0.221 0.558
Ge 0.000 0.000 0.000
Sn 0.500 0.500 0.000

Calculated values
As for the energy of formation from the pure elements: -7.33 kcal/mol of atoms. Its crystal system is triclinic. Its space-group type is P-1 (2).


no.,calculated volume (Å³/atom)
1,18.634
2,19.040
3,20.676
4,19.173
5,18.919
6,19.926
7,14.801
8,18.209
9,21.090
10,19.928
11,19.157
12,19.131